A plane-wave DFT calculation with PBE was carried out for a relaxed structure of Dy3Cu4Si2.

Computed properties:
space-group type	C2/m
E_tot	-45.6	eV for the cell shown
energy relative to the elements, uncorrected	-0.51	eV per atom

Cell: 4.157 5.579 8.213 Å, 107.72 90.00 111.88°
Element x y z (fractional)
Si: 0.611 0.221 0.279
Si: 0.389 0.779 0.721
Cu: 0.717 0.434 0.058
Cu: 0.059 0.119 0.389
Cu: 0.941 0.881 0.611
Cu: 0.283 0.566 0.942
Dy: 0.336 0.671 0.334
Dy: 0.664 0.329 0.666
Dy: 0.000 0.000 0.000